Mg5C | PBE-GGA | relaxed Values from VASP.

Structure (Quantum ESPRESSO input):
```
&SYSTEM
  ibrav = 0, nat = 6, ntyp = 2
/
ATOMIC_SPECIES
C 12.01 C.upf
Mg 24.30 Mg.upf
ATOMIC_POSITIONS angstrom
C -0.798 -1.660 -1.019
Mg -1.588 -5.896 6.505
Mg -0.119 -0.638 1.133
Mg -0.568 -3.051 5.419
Mg -1.146 -3.526 2.296
Mg -1.018 -5.465 9.704
CELL_PARAMETERS angstrom
-2.736 -0.874 -0.780
1.140 -2.445 -1.258
-1.137 -6.103 10.837
```

Results
Magnetization (μB per formula unit): 0.0
Formation energy from the elements (eV/atom): 0.411
Energy above the most stable polymorph in this dataset (meV/atom): 86

***

MgC8 | PBE-GGA | relaxed Values from VASP.

Structure (Quantum ESPRESSO input):
```
&SYSTEM
  ibrav = 0, nat = 9, ntyp = 2
/
ATOMIC_SPECIES
C 12.01 C.upf
Mg 24.30 Mg.upf
ATOMIC_POSITIONS angstrom
C 4.209 4.209 1.003
C 0.919 3.932 0.474
C 1.225 -1.349 1.283
C 4.548 7.562 0.250
C 3.932 0.919 0.474
C 7.562 4.548 0.250
C -1.349 1.225 1.283
C 4.271 4.271 -0.279
Mg 0.000 0.000 0.000
CELL_PARAMETERS angstrom
-3.074 2.950 1.283
2.950 -3.074 1.283
8.604 8.604 -1.842
```

Results
Magnetization (μB per formula unit): 0.0
Formation energy from the elements (eV/atom): 0.860

***

MgC2 | PBE-GGA | relaxed Values from VASP.

Structure (Quantum ESPRESSO input):
```
&SYSTEM
  ibrav = 0, nat = 9, ntyp = 2
/
ATOMIC_SPECIES
C 12.01 C.upf
Mg 24.30 Mg.upf
ATOMIC_POSITIONS angstrom
C 2.165 -0.273 2.191
C 2.931 -3.984 1.490
C 1.906 -1.035 0.905
C 1.294 0.888 1.749
Mg 0.000 0.000 0.000
C 0.442 -1.787 4.388
C 0.835 2.602 4.383
Mg 1.755 -2.448 2.667
Mg 0.852 0.388 3.913
CELL_PARAMETERS angstrom
-2.231 2.959 4.185
0.478 -5.551 0.447
4.360 0.532 1.948
```

Results
Magnetization (μB per formula unit): 0.3
Formation energy from the elements (eV/atom): 1.070
Energy above the most stable polymorph in this dataset (meV/atom): 640

***

MgC2 | PBE-GGA | relaxed Values from VASP.

Structure (Quantum ESPRESSO input):
```
&SYSTEM
  ibrav = 0, nat = 6, ntyp = 2
/
ATOMIC_SPECIES
Mg 24.30 Mg.upf
C 12.01 C.upf
ATOMIC_POSITIONS angstrom
Mg 0.000 1.662 2.462
C 1.662 0.000 1.768
C 1.662 0.000 3.156
Mg 0.000 0.000 0.000
C 0.000 0.000 5.618
C 0.000 0.000 4.230
CELL_PARAMETERS angstrom
-1.662 1.662 4.924
1.662 -1.662 4.924
1.662 1.662 -4.924
```

Results
Magnetization (μB per formula unit): 0.0
Formation energy from the elements (eV/atom): 1.011
Energy above the most stable polymorph in this dataset (meV/atom): 581

***

MgC2 | PBE-GGA | relaxed Values from VASP.

Structure (Quantum ESPRESSO input):
```
&SYSTEM
  ibrav = 0, nat = 6, ntyp = 2
/
ATOMIC_SPECIES
Mg 24.30 Mg.upf
C 12.01 C.upf
ATOMIC_POSITIONS angstrom
Mg -9.061 -0.546 0.812
Mg -3.239 -1.819 0.729
C -2.847 0.278 0.134
C -3.933 0.952 0.031
C -9.452 -2.642 1.406
C -8.367 -3.317 1.509
CELL_PARAMETERS angstrom
-1.777 -2.940 -0.903
-1.529 -2.025 2.486
-8.994 2.601 -0.043
```

Results
Magnetization (μB per formula unit): 0.0
Formation energy from the elements (eV/atom): 0.587
Energy above the most stable polymorph in this dataset (meV/atom): 157

***

MgMnC3 | PBE-GGA | relaxed Values from VASP.

Structure (Quantum ESPRESSO input):
```
&SYSTEM
  ibrav = 0, nat = 5, ntyp = 3
/
ATOMIC_SPECIES
Mg 24.30 Mg.upf
Mn 54.94 Mn.upf
C 12.01 C.upf
ATOMIC_POSITIONS angstrom
Mg 1.886 1.886 1.886
Mn 0.000 0.000 0.000
C 0.000 0.000 1.886
C 0.000 1.886 0.000
C 1.886 0.000 0.000
CELL_PARAMETERS angstrom
3.772 0.000 0.000
0.000 3.772 0.000
0.000 0.000 3.772
```

Results
Magnetization (μB per formula unit): 0.0
Formation energy from the elements (eV/atom): 1.461
Energy above the most stable polymorph in this dataset (meV/atom): 0

***

MgMnC2 | PBE-GGA | relaxed Values from VASP.

Structure (Quantum ESPRESSO input):
```
&SYSTEM
  ibrav = 0, nat = 8, ntyp = 3
/
ATOMIC_SPECIES
Mg 24.30 Mg.upf
Mn 54.94 Mn.upf
C 12.01 C.upf
ATOMIC_POSITIONS angstrom
Mg 2.362 4.723 2.235
Mn 0.000 0.000 0.000
C 3.542 3.166 3.353
C 5.904 6.281 3.353
Mg 2.362 2.362 0.000
C 0.804 3.542 1.118
C 3.919 1.181 1.118
Mn 4.723 2.362 2.235
CELL_PARAMETERS angstrom
4.723 0.000 0.000
0.000 4.723 0.000
2.362 2.362 4.470
```

Results
Magnetization (μB per formula unit): 0.8
Formation energy from the elements (eV/atom): 0.634

***

Mg6MnC | PBE-GGA | relaxed Values from VASP.

Structure (Quantum ESPRESSO input):
```
&SYSTEM
  ibrav = 0, nat = 8, ntyp = 3
/
ATOMIC_SPECIES
Mg 24.30 Mg.upf
C 12.01 C.upf
Mn 54.94 Mn.upf
ATOMIC_POSITIONS angstrom
Mg 6.844 1.102 1.870
Mg 4.184 3.023 1.870
C 4.184 -2.385 0.000
Mn 4.184 1.008 0.000
Mg 4.184 -1.084 1.870
Mg 1.525 1.102 1.870
Mg 2.118 -1.382 0.000
Mg 6.251 -1.382 0.000
CELL_PARAMETERS angstrom
4.184 -4.787 0.000
4.184 4.787 0.000
0.000 0.000 3.740
```

Results
Magnetization (μB per formula unit): 3.7
Formation energy from the elements (eV/atom): 0.415
Energy above the most stable polymorph in this dataset (meV/atom): 229

***

MgMn5C2 | PBE-GGA | relaxed Values from VASP.

Structure (Quantum ESPRESSO input):
```
&SYSTEM
  ibrav = 0, nat = 8, ntyp = 3
/
ATOMIC_SPECIES
Mn 54.94 Mn.upf
C 12.01 C.upf
Mg 24.30 Mg.upf
ATOMIC_POSITIONS angstrom
Mn 2.980 3.757 1.182
Mn 2.980 2.257 3.227
Mn 2.980 5.100 5.311
C 4.470 6.180 4.530
Mn 2.980 6.599 3.265
C 1.490 2.677 1.963
Mn 1.490 4.428 3.246
Mg 0.000 0.000 0.000
CELL_PARAMETERS angstrom
2.980 0.000 0.000
1.490 6.000 1.103
1.490 2.857 5.390
```

Results
Magnetization (μB per formula unit): 9.1
Formation energy from the elements (eV/atom): 0.104

***

MgMn22C6 | PBE-GGA | relaxed Values from VASP.

Structure (Quantum ESPRESSO input):
```
&SYSTEM
  ibrav = 0, nat = 29, ntyp = 3
/
ATOMIC_SPECIES
C 12.01 C.upf
Mn 54.94 Mn.upf
Mg 24.30 Mg.upf
ATOMIC_POSITIONS angstrom
C 2.336 1.652 7.373
Mn 1.393 3.939 4.961
C 5.217 1.652 9.037
Mn 2.207 0.000 1.274
Mn 2.128 1.505 3.687
Mn 4.178 0.000 2.412
C 6.178 4.368 7.373
Mn 6.255 2.304 7.373
Mn 0.000 0.000 2.548
Mn 0.736 2.081 6.099
Mn 5.256 3.716 5.643
Mn 6.385 4.515 11.060
Mn 2.207 0.000 6.099
Mn 0.000 0.000 4.825
Mn 4.257 0.891 7.373
Mg 0.000 0.000 0.000
Mn 4.257 5.129 7.373
C 3.296 4.368 9.037
C 3.296 4.368 5.710
Mn 5.256 3.716 9.104
Mn 4.914 2.081 3.687
Mn 3.600 3.939 3.687
Mn 3.258 2.304 5.643
Mn 1.393 3.939 2.412
Mn 2.259 3.716 7.373
Mn 0.736 2.081 1.274
Mn 3.258 2.304 9.104
C 5.217 1.652 5.710
Mn 4.178 0.000 4.961
CELL_PARAMETERS angstrom
6.385 0.000 3.687
2.128 6.020 3.687
0.000 0.000 7.373
```

Results
Magnetization (μB per formula unit): 11.4
Formation energy from the elements (eV/atom): -0.050

***

Mg6MnC | PBE-GGA | relaxed Values from VASP.

Structure (Quantum ESPRESSO input):
```
&SYSTEM
  ibrav = 0, nat = 8, ntyp = 3
/
ATOMIC_SPECIES
Mg 24.30 Mg.upf
Mn 54.94 Mn.upf
C 12.01 C.upf
ATOMIC_POSITIONS angstrom
Mg -6.387 -3.760 -1.918
Mn -1.061 -4.758 -3.384
Mg -4.535 -1.357 -1.818
C -2.027 -4.903 -1.801
Mg -3.672 -4.064 -3.448
Mg -1.468 -2.498 -1.960
Mg -6.628 -0.399 0.273
Mg -2.687 -1.131 0.579
CELL_PARAMETERS angstrom
-6.945 1.002 -0.732
0.083 -5.878 -3.900
-0.509 -1.683 2.526
```

Results
Magnetization (μB per formula unit): 1.4
Formation energy from the elements (eV/atom): 0.185
Energy above the most stable polymorph in this dataset (meV/atom): 0

***

MgMnC3 | PBE-GGA | relaxed Values from VASP.

Structure (Quantum ESPRESSO input):
```
&SYSTEM
  ibrav = 0, nat = 5, ntyp = 3
/
ATOMIC_SPECIES
Mg 24.30 Mg.upf
C 12.01 C.upf
Mn 54.94 Mn.upf
ATOMIC_POSITIONS angstrom
Mg 0.000 0.000 0.000
C -1.846 0.011 -0.729
C -0.457 -1.565 1.132
Mn -2.871 -0.333 1.860
C -0.569 1.221 1.458
CELL_PARAMETERS angstrom
-1.138 2.441 2.916
-3.692 0.022 -1.459
-0.913 -3.130 2.264
```

Results
Magnetization (μB per formula unit): 0.0
Formation energy from the elements (eV/atom): 3.290
Energy above the most stable polymorph in this dataset (meV/atom): 1829

***

MgMn6C3 | PBE-GGA | relaxed Values from VASP.

Structure (Quantum ESPRESSO input):
```
&SYSTEM
  ibrav = 0, nat = 10, ntyp = 3
/
ATOMIC_SPECIES
Mn 54.94 Mn.upf
Mg 24.30 Mg.upf
C 12.01 C.upf
ATOMIC_POSITIONS angstrom
Mn -0.436 -0.955 1.816
Mn -2.757 0.838 2.035
Mg 1.252 -1.530 4.058
Mn 2.318 0.245 2.707
Mn 1.967 -2.532 1.471
C 4.063 -0.077 3.585
C -2.381 -1.021 1.495
Mn -0.065 0.773 3.487
C 0.672 0.675 1.596
Mn 3.733 -1.952 3.040
CELL_PARAMETERS angstrom
-4.828 0.679 1.746
2.458 -4.477 0.858
4.043 2.691 2.454
```

Results
Magnetization (μB per formula unit): 9.7
Formation energy from the elements (eV/atom): 0.131

***

MgMnC | PBE-GGA | relaxed Values from VASP.

Structure (Quantum ESPRESSO input):
```
&SYSTEM
  ibrav = 0, nat = 6, ntyp = 3
/
ATOMIC_SPECIES
Mn 54.94 Mn.upf
Mg 24.30 Mg.upf
C 12.01 C.upf
ATOMIC_POSITIONS angstrom
Mn 1.556 -0.610 0.290
Mn -0.566 -1.575 -0.274
Mg 0.544 -2.373 2.014
Mg -0.803 -0.338 3.597
C -0.294 -0.124 1.315
C 0.034 -2.587 4.296
CELL_PARAMETERS angstrom
-1.132 -3.150 -0.549
3.112 -1.219 0.580
-2.239 1.658 5.580
```

Results
Magnetization (μB per formula unit): 2.0
Formation energy from the elements (eV/atom): 0.266

***

NdMgMnC | PBE-GGA | relaxed Values from VASP.

Structure (Quantum ESPRESSO input):
```
&SYSTEM
  ibrav = 0, nat = 8, ntyp = 4
/
ATOMIC_SPECIES
Mg 24.30 Mg.upf
Mn 54.94 Mn.upf
C 12.01 C.upf
Nd 144.24 Nd.upf
ATOMIC_POSITIONS angstrom
Mg 0.919 2.756 5.419
Mg 2.756 0.919 5.419
Mn 2.756 0.919 0.000
C 0.919 0.919 0.786
Nd 0.919 0.919 8.524
Nd 2.756 2.756 2.315
Mn 0.919 2.756 0.000
C 2.756 2.756 10.052
CELL_PARAMETERS angstrom
3.675 0.000 0.000
0.000 3.675 0.000
0.000 0.000 10.839
```

Results
Magnetization (μB per formula unit): 0.9
Formation energy from the elements (eV/atom): 0.076